A relaxed Sm2P3IrRh12 crystal, computed with PBE.

Cell and atoms, written as extended XYZ:
```
18
Lattice="-0.2329 -1.6438 6.8136 -5.1688 -4.6976 0.6305 3.1715 -6.2310 0.5457" Properties=species:S:1:pos:R:3 pbc="T T T"
Sm -1.3523 -7.6232 4.8446
Sm -0.8780 -4.9492 3.1452
P -0.1165 -0.8219 3.4068
P -2.5844 -2.3488 0.3153
P 1.5857 -3.1155 0.2728
Ir 0.0000 0.0000 0.0000
Rh 1.0992 -7.7974 2.9736
Rh -3.4406 -7.6513 6.5255
Rh -1.7823 -9.8858 3.4723
Rh -0.8768 -5.1348 6.6118
Rh 0.6221 -8.3982 6.4842
Rh -3.7418 -6.9074 3.0228
Rh -3.3295 -4.7750 5.0162
Rh 1.2103 -4.9212 1.4643
Rh -0.4480 -2.6867 4.5175
Rh -1.3534 -7.4376 1.3781
Rh -2.8524 -4.1742 1.5057
Rh 1.5116 -5.6651 4.9670
```

## Properties
Symmetry: R-3m, No. 166
E_form, eV/atom: -0.1086